No. 1
A plane-wave DFT calculation with PBE was carried out for a geometry-optimized NdErMg2Sn2 structure.

```
NdErMg2Sn2
1.0
-2.221 2.221 8.012
2.221 -2.221 8.012
2.221 2.221 -8.012
Nd Er Mg Sn
1 1 2 2
direct
0.000 0.000 0.000
0.667 0.667 0.000
0.332 0.832 0.500
0.832 0.332 0.500
0.199 0.199 0.000
0.468 0.468 0.000
```

Summary:
Symmetry   I4mm (107)
Uncorrected energy   -23.87 eV/cell

No. 2
A plane-wave DFT calculation with PBE was carried out for a geometry-optimized ZrSb2Pd structure.

```
ZrSb2Pd
1.0
0.000 3.530 3.530
3.530 0.000 3.530
3.530 3.530 0.000
Zr Sb Pd
1 2 1
direct
0.000 0.000 0.000
0.250 0.250 0.250
0.500 0.500 0.500
0.750 0.750 0.750
```

Summary:
Symmetry   F-43m (216)
Uncorrected energy   -22.50 eV/cell

No. 3
A plane-wave DFT calculation with PBE was carried out for a geometry-optimized YPaPb structure.

```
YPaPb
1.0
0.000 3.687 3.687
3.687 0.000 3.687
3.687 3.687 0.000
Y Pa Pb
1 1 1
direct
0.000 0.000 0.000
0.500 0.500 0.500
0.750 0.750 0.750
```

Summary:
Symmetry   F-43m (216)
Offset from the most stable computed form   0.000 eV per atom
Uncorrected energy   -18.46 eV/cell

No. 4
A plane-wave DFT calculation with PBE was carried out for a geometry-optimized Li4ZrPdO6 structure.

```
Li4ZrPdO6
1.0
2.592 -4.500 0.000
2.592 4.500 0.000
-1.697 0.000 4.915
Li Zr Pd O
4 1 1 6
direct
0.000 0.000 0.000
0.167 0.833 0.500
0.479 0.521 0.500
0.848 0.152 0.500
0.665 0.335 0.000
0.333 0.667 0.000
0.088 0.426 0.240
0.257 0.267 0.755
0.417 0.068 0.243
0.574 0.912 0.760
0.733 0.743 0.245
0.932 0.583 0.757
```

Summary:
Symmetry   C2 (5)
Uncorrected energy   -74.58 eV/cell

Look up the uncorrected energy of the fourth one.
-74.58 eV/cell

Look up the uncorrected energy of the fourth one.
-74.58 eV/cell